[1]
An optimized crystal structure of SiTe2BrN. Source: Alexandria via LeMat-Bulk, functional PBE-GGA.

Cell and atoms, written as CIF:
```
data_SiTe2BrN
_symmetry_space_group_name_H-M 'P 4/m m m'
_symmetry_Int_Tables_number 123
_symmetry_space_group_name_Hall '-P 4 2'
_cell_length_a 5.8604
_cell_length_b 5.8604
_cell_length_c 3.6670
_cell_angle_alpha 90.00
_cell_angle_beta 90.00
_cell_angle_gamma 90.00
loop_
_atom_site_label
_atom_site_type_symbol
_atom_site_fract_x
_atom_site_fract_y
_atom_site_fract_z
Si1 Si 0.0000 0.0000 0.0000
Te1 Te 0.0000 0.5000 0.5000
Br1 Br 0.5000 0.5000 0.5000
N1 N 0.5000 0.5000 0.0000
```

Computed properties:
Offset from the most stable computed form = 1.2020 eV/atom
Energy relative to the elements, uncorrected = 1542 meV/atom


[2]
An optimized crystal structure of SiTe2BrN. Source: Alexandria via LeMat-Bulk, functional PBE-GGA.

Cell and atoms, written as CIF:
```
data_SiTe2BrN
_symmetry_space_group_name_H-M 'P 4/m m m'
_symmetry_Int_Tables_number 123
_symmetry_space_group_name_Hall '-P 4 2'
_cell_length_a 5.8205
_cell_length_b 5.8205
_cell_length_c 3.2892
_cell_angle_alpha 90.00
_cell_angle_beta 90.00
_cell_angle_gamma 90.00
loop_
_atom_site_label
_atom_site_type_symbol
_atom_site_fract_x
_atom_site_fract_y
_atom_site_fract_z
Si1 Si 0.0000 0.0000 0.0000
Te1 Te 0.0000 0.5000 0.0000
Br1 Br 0.5000 0.5000 0.5000
N1 N 0.0000 0.0000 0.5000
```

Computed properties:
Offset from the most stable computed form = 0.0000 eV/atom
Energy relative to the elements, uncorrected = 340 meV/atom


no.,total moment (μB per cell)
1,0.0
2,0.0